# PmPaMnO6

A relaxed structure of PmPaMnO6 (PBE+U, Alexandria).

Unit cell a=5.4221 b=5.4221 c=4.8087 alpha=90.00 beta=90.00 gamma=120.00
Positions (direct):
Pm (0.0000, 0.0000, 0.0000)
Pa (0.6667, 0.3333, 0.5000)
Mn (0.3333, 0.6667, 0.0000)
O (0.0211, 0.3837, 0.2354)
O (0.0211, 0.6374, 0.7646)
O (0.3626, 0.3837, 0.7646)
O (0.3626, 0.9789, 0.2354)
O (0.6163, 0.6374, 0.2354)
O (0.6163, 0.9789, 0.7646)

## Properties
raw total energy	-8.396	eV per atom
SG	P312, No. 149
size of the total moment	3.01	Bohr magnetons per cell
ρ	7.15	g/cm³